First-principles (meta-GGA SCAN) data for a PBEsol-optimized structure of K2BPdO, as listed in the Alexandria database.

CIF file:
```
data_K2BPdO
_chemical_formula_sum 'K2 B1 Pd1 O1'
_cell_length_a 6.0697
_cell_length_b 6.0697
_cell_length_c 2.8316
_cell_angle_alpha 90.00
_cell_angle_beta 90.00
_cell_angle_gamma 90.00
_space_group_name_H-M_alt 'P 4/m m m'
_space_group_IT_number 123
_space_group_name_Hall '-P 4 2'
loop_
_atom_site_label
_atom_site_type_symbol
_atom_site_fract_x
_atom_site_fract_y
_atom_site_fract_z
K1 K 0.0000 0.5000 0.0000
B1 B 0.0000 0.0000 0.0000
Pd1 Pd 0.5000 0.5000 0.5000
O1 O 0.0000 0.0000 0.5000
```

Values from the calculation:
* formation energy without anion corrections: 0.5 kcal/mol of atoms